Material: InHgCl2
Method: DFT, PBE
State: optimized geometry

Computed properties:
As for the crystal system: orthorhombic. The symmetry is Pnna (52). The mass density is 4.67 g/cm³. The value obtained for the raw formation energy is -0.6135 eV/atom. The calculation puts the energy above the most stable polymorph in this dataset at 0.698 kcal/mol of atoms. For the total energy, the calculation gives -36.7 eV per cell. The calculation puts the calculated volume at 549 Å³/cell.

Geometry as POSCAR:
```
InHgCl2
1.0
7.4582 0.0000 0.0000
0.0000 3.6221 -0.0001
0.0000 0.0010 20.3339
In Hg Cl
4 4 8
direct
0.9999 0.2499 0.6356 In
0.0001 0.7501 0.3644 In
0.4999 0.2501 0.8644 In
0.5001 0.7499 0.1356 In
0.2500 0.7485 0.2500 Hg
0.7500 0.2515 0.7500 Hg
0.7500 0.7515 0.2500 Hg
0.2500 0.2485 0.7500 Hg
0.7241 0.7506 0.9105 Cl
0.2759 0.2494 0.0895 Cl
0.2241 0.7494 0.5895 Cl
0.7759 0.2506 0.4105 Cl
0.7243 0.2504 0.0896 Cl
0.2757 0.7496 0.9104 Cl
0.2243 0.2496 0.4104 Cl
0.7757 0.7504 0.5896 Cl
```